Record 1
ScFeBiAu: relaxed, GGA-PBE.

Cell lengths 4.714, 4.714, 4.714 Å; angles 60.00, 60.00, 60.00 degrees
Fractional positions:
Au: 0.500 0.500 0.500
Bi: 0.000 0.000 0.000
Fe: 0.750 0.750 0.750
Sc: 0.250 0.250 0.250

Properties
* magnetic moment: 2.4 Bohr magnetons per cell
* relative energy among the computed polymorphs: 0 meV/atom



Record 2
HfAlI7: relaxed, GGA-PBE.

Cell lengths 8.206, 6.908, 17.491 Å; angles 90.00, 99.16, 90.00 degrees
Fractional positions:
Al: 0.732 0.016 0.353
Al: 0.732 0.984 0.853
Hf: 0.985 0.421 0.491
Hf: 0.985 0.579 0.991
I: 0.160 0.830 0.090
I: 0.862 0.358 0.095
I: 0.523 0.121 0.241
I: 0.021 0.170 0.351
I: 0.742 0.643 0.356
I: 0.238 0.636 0.456
I: 0.675 0.172 0.482
I: 0.160 0.170 0.590
I: 0.862 0.642 0.595
I: 0.523 0.879 0.741
I: 0.021 0.830 0.851
I: 0.742 0.357 0.856
I: 0.238 0.364 0.956
I: 0.675 0.828 0.982

Properties
* magnetic moment: 0.0 Bohr magnetons per cell
* E_tot: -3.50 eV/atom



Record 3
TlTe2Au: relaxed, GGA-PBE.

Cell lengths 7.678, 7.678, 7.678 Å; angles 32.28, 32.28, 32.28 degrees
Fractional positions:
Au: 0.500 0.500 0.500
Te: 0.236 0.236 0.236
Te: 0.764 0.764 0.764
Tl: 0.000 0.000 0.000

Properties
* E_tot: -3.08 eV/atom



Record 4
TmTlFeTe3: relaxed, GGA-PBE.

Cell lengths 4.453, 12.265, 13.096 Å; angles 90.00, 90.00, 90.00 degrees
Site moments in Bohr magnetons follow the coordinates.
Fractional positions:
Fe: 0.750 0.756 0.200  3.10
Fe: 0.750 0.256 0.300  3.08
Fe: 0.250 0.744 0.700  3.08
Fe: 0.250 0.244 0.800  3.10
Te: 0.750 0.598 0.064  0.07
Te: 0.750 0.964 0.154  0.09
Te: 0.250 0.226 0.195  0.11
Te: 0.250 0.726 0.305  0.11
Te: 0.750 0.464 0.346  0.09
Te: 0.750 0.098 0.436  0.07
Te: 0.250 0.902 0.564  0.07
Te: 0.250 0.536 0.654  0.09
Te: 0.750 0.274 0.695  0.11
Te: 0.750 0.774 0.805  0.11
Te: 0.250 0.036 0.846  0.09
Te: 0.250 0.402 0.936  0.07
Tl: 0.250 0.815 0.010  0.02
Tl: 0.250 0.315 0.490  0.02
Tl: 0.750 0.685 0.510  0.02
Tl: 0.750 0.185 0.990  0.02
Tm: 0.250 0.480 0.185  0.07
Tm: 0.250 0.980 0.315  0.07
Tm: 0.750 0.020 0.685  0.07
Tm: 0.750 0.520 0.815  0.07

Properties
* magnetic moment: 15.5 Bohr magnetons per cell
* relative energy among the computed polymorphs: 102 meV/atom



Record 5
Y3Os: relaxed, GGA-PBE.

Cell lengths 7.423, 9.088, 6.346 Å; angles 90.00, 90.00, 90.00 degrees
Fractional positions:
Os: 0.618 0.250 0.040
Os: 0.118 0.250 0.460
Os: 0.882 0.750 0.540
Os: 0.382 0.750 0.960
Y: 0.040 0.750 0.130
Y: 0.326 0.063 0.167
Y: 0.326 0.437 0.167
Y: 0.826 0.063 0.333
Y: 0.826 0.437 0.333
Y: 0.540 0.750 0.370
Y: 0.460 0.250 0.630
Y: 0.174 0.563 0.667
Y: 0.174 0.937 0.667
Y: 0.674 0.563 0.833
Y: 0.674 0.937 0.833
Y: 0.960 0.250 0.870

Properties
* magnetic moment: 0.0 Bohr magnetons per cell
* E_tot: -7.89 eV/atom



Record 6
LiMg2Cu: relaxed, GGA-PBE.

Cell lengths 4.399, 4.399, 9.531 Å; angles 90.00, 90.00, 120.00 degrees
Fractional positions:
Cu: 0.000 0.000 0.000
Cu: 0.000 0.000 0.500
Li: 0.333 0.667 0.250
Li: 0.667 0.333 0.750
Mg: 0.667 0.333 0.087
Mg: 0.667 0.333 0.413
Mg: 0.333 0.667 0.587
Mg: 0.333 0.667 0.913

Properties
* E_tot: -2.09 eV/atom



Record 7
NaDyTeO: relaxed, GGA-PBE.

Cell lengths 4.110, 4.110, 10.134 Å; angles 90.00, 90.00, 90.00 degrees
Fractional positions:
Dy: 0.250 0.250 0.100
Dy: 0.750 0.750 0.900
Na: 0.750 0.250 0.500
Na: 0.250 0.750 0.500
O: 0.750 0.250 0.000
O: 0.250 0.750 0.000
Te: 0.750 0.750 0.283
Te: 0.250 0.250 0.717

Properties
* magnetic moment: 0.0 Bohr magnetons per cell
* relative energy among the computed polymorphs: 3 meV/atom



Record 8
NdY2Ga2Pd4: relaxed, GGA-PBE.

Cell lengths 5.525, 5.525, 8.619 Å; angles 96.18, 96.18, 46.41 degrees
Fractional positions:
Ga: 0.321 0.321 0.222
Ga: 0.679 0.679 0.778
Nd: 0.000 0.000 0.000
Pd: 0.719 0.719 0.091
Pd: 0.915 0.915 0.366
Pd: 0.085 0.085 0.634
Pd: 0.281 0.281 0.909
Y: 0.624 0.624 0.387
Y: 0.376 0.376 0.613

Properties
* magnetic moment: 0.0 Bohr magnetons per cell
* E_tot: -5.78 eV/atom



Record 9
LaPrB2Ir2C2: relaxed, GGA-PBE.

Cell lengths 3.854, 3.854, 7.962 Å; angles 90.00, 90.00, 90.00 degrees
Fractional positions:
B: 0.000 0.000 0.351
B: 0.500 0.500 0.649
C: 0.000 0.000 0.159
C: 0.500 0.500 0.841
Ir: 0.500 0.000 0.500
Ir: 0.000 0.500 0.500
La: 0.000 0.000 0.830
Pr: 0.500 0.500 0.170

Properties
* magnetic moment: 0.0 Bohr magnetons per cell
* E_tot: -7.78 eV/atom



Record 10
Tm3Re2Mo3N12: relaxed, GGA-PBE.

Cell lengths 10.884, 10.884, 10.884 Å; angles 109.47, 109.47, 109.47 degrees
Fractional positions:
Mo: 0.875 0.250 0.125
Mo: 0.750 0.875 0.125
Mo: 0.625 0.375 0.250
Mo: 0.125 0.875 0.250
Mo: 0.250 0.625 0.375
Mo: 0.625 0.750 0.375
Mo: 0.375 0.250 0.625
Mo: 0.750 0.375 0.625
Mo: 0.875 0.125 0.750
Mo: 0.375 0.625 0.750
Mo: 0.250 0.125 0.875
Mo: 0.125 0.750 0.875
N: 0.321 0.906 0.024
N: 0.203 0.118 0.024
N: 0.882 0.406 0.085
N: 0.703 0.679 0.085
N: 0.976 0.679 0.094
N: 0.618 0.415 0.094
N: 0.024 0.203 0.118
N: 0.594 0.915 0.118
N: 0.476 0.594 0.179
N: 0.203 0.585 0.179
N: 0.118 0.024 0.203
N: 0.585 0.179 0.203
N: 0.476 0.382 0.297
N: 0.321 0.915 0.297
N: 0.906 0.024 0.321
N: 0.915 0.297 0.321
N: 0.297 0.476 0.382
N: 0.585 0.906 0.382
N: 0.085 0.882 0.406
N: 0.821 0.524 0.406
N: 0.821 0.797 0.415
N: 0.094 0.618 0.415
N: 0.594 0.179 0.476
N: 0.382 0.297 0.476
N: 0.618 0.703 0.524
N: 0.406 0.821 0.524
N: 0.906 0.382 0.585
N: 0.179 0.203 0.585
N: 0.179 0.476 0.594
N: 0.915 0.118 0.594
N: 0.415 0.094 0.618
N: 0.703 0.524 0.618
N: 0.085 0.703 0.679
N: 0.094 0.976 0.679
N: 0.524 0.618 0.703
N: 0.679 0.085 0.703
N: 0.415 0.821 0.797
N: 0.882 0.976 0.797
N: 0.524 0.406 0.821
N: 0.797 0.415 0.821
N: 0.406 0.085 0.882
N: 0.976 0.797 0.882
N: 0.024 0.321 0.906
N: 0.382 0.585 0.906
N: 0.297 0.321 0.915
N: 0.118 0.594 0.915
N: 0.679 0.094 0.976
N: 0.797 0.882 0.976
Re: 0.000 0.000 0.000
Re: 0.500 0.000 0.000
Re: 0.000 0.500 0.000
Re: 0.500 0.500 0.000
Re: 0.000 0.000 0.500
Re: 0.500 0.000 0.500
Re: 0.000 0.500 0.500
Re: 0.500 0.500 0.500
Tm: 0.250 0.375 0.125
Tm: 0.375 0.750 0.125
Tm: 0.375 0.125 0.250
Tm: 0.875 0.625 0.250
Tm: 0.750 0.125 0.375
Tm: 0.125 0.250 0.375
Tm: 0.875 0.750 0.625
Tm: 0.250 0.875 0.625
Tm: 0.125 0.375 0.750
Tm: 0.625 0.875 0.750
Tm: 0.625 0.250 0.875
Tm: 0.750 0.625 0.875

Properties
* magnetic moment: 0.0 Bohr magnetons per cell
* E_tot: -9.13 eV/atom



Record 11
Ni8Bi: relaxed, GGA-PBE.

Cell lengths 4.277, 4.277, 24.292 Å; angles 90.33, 90.33, 48.74 degrees
Site moments in Bohr magnetons follow the coordinates.
Fractional positions:
Bi: 0.949 0.949 0.293  0.01
Bi: 0.051 0.051 0.707  0.01
Ni: 0.350 0.350 0.016  -0.65
Ni: 0.050 0.050 0.049  -0.63
Ni: 0.750 0.750 0.081  -0.61
Ni: 0.451 0.451 0.113  -0.65
Ni: 0.151 0.151 0.145  -0.55
Ni: 0.851 0.851 0.178  -0.52
Ni: 0.553 0.553 0.211  -0.31
Ni: 0.249 0.249 0.242  -0.16
Ni: 0.751 0.751 0.758  -0.16
Ni: 0.447 0.447 0.789  -0.31
Ni: 0.149 0.149 0.822  -0.52
Ni: 0.849 0.849 0.855  -0.55
Ni: 0.549 0.549 0.887  -0.65
Ni: 0.250 0.250 0.919  -0.61
Ni: 0.950 0.950 0.951  -0.63
Ni: 0.650 0.650 0.984  -0.65

Properties
* magnetic moment: 8.0 Bohr magnetons per cell
* E_tot: -5.38 eV/atom



Record 12
LiScGaPd: relaxed, GGA-PBE.

Cell lengths 4.544, 4.544, 4.544 Å; angles 60.00, 60.00, 60.00 degrees
Fractional positions:
Ga: 0.500 0.500 0.500
Li: 0.750 0.750 0.750
Pd: 0.000 0.000 0.000
Sc: 0.250 0.250 0.250

Properties
* magnetic moment: 0.0 Bohr magnetons per cell
* relative energy among the computed polymorphs: 89 meV/atom



- Number 8 is which compound?
  NdY2Ga2Pd4